(1)
A plane-wave DFT calculation with PBE was carried out for a relaxed structure of Er2Ge2BRu2.

Cell lengths 10.970, 4.213, 6.894 Å; angles 90.00, 128.66, 90.00 degrees
Space group C2/m (No. 12)
Asymmetric unit:
Er: 0.062 0.000 0.329 x4
Ge: 0.155 0.500 0.113 x4
B: 0.000 0.500 0.500 x2
Ru: 0.210 0.500 0.813 x4

total moment = 0.00 μB per formula unit
calculated formation energy = -5.04 eV per formula unit
density of states at the Fermi level = 2.90 states/eV/f.u.

(2)
A plane-wave DFT calculation with PBE was carried out for a relaxed structure of ErGe2BRu2.

Cell lengths 4.156, 4.156, 5.452 Å; angles 90.00, 90.00, 90.00 degrees
Space group P4/mmm (No. 123)
Asymmetric unit:
Er: 0.000 0.000 0.000 x1
Ge: 0.500 0.500 0.221 x2
B: 0.000 0.000 0.500 x1
Ru: 0.000 0.500 0.500 x2

total moment = 0.00 μB per formula unit
calculated formation energy = -3.00 eV per formula unit
density of states at the Fermi level = 2.38 states/eV/f.u.

(3)
A plane-wave DFT calculation with PBE was carried out for a relaxed structure of Er2GeB2Ru5.

Cell lengths 9.530, 9.530, 3.097 Å; angles 90.00, 90.00, 90.00 degrees
Space group P4/mbm (No. 127)
Asymmetric unit:
Er: 0.176 0.324 0.000 x4
Ge: 0.000 0.000 0.000 x2
B: 0.123 0.623 0.000 x4
Ru: 0.000 0.500 0.500 x2
Ru: 0.069 0.784 0.500 x8

total moment = 0.00 μB per formula unit
calculated formation energy = -5.29 eV per formula unit
density of states at the Fermi level = 8.80 states/eV/f.u.

(4)
A plane-wave DFT calculation with PBE was carried out for a relaxed structure of ErB2H6.

Cell lengths 6.336, 6.336, 6.336 Å; angles 90.00, 90.00, 90.00 degrees
Space group Fm-3m (No. 225)
Asymmetric unit:
Er: 0.000 0.000 0.000 x4
B: 0.250 0.250 0.250 x8
H: 0.000 0.000 0.348 x24

total moment = 0.00 μB per formula unit
VASP energy = -2.981 eV/atom
density of states at the Fermi level = 2.28 states/eV/f.u.

(5)
A plane-wave DFT calculation with PBE was carried out for a relaxed structure of ErB2H8.

Cell lengths 8.123, 7.529, 7.048 Å; angles 90.00, 125.03, 90.00 degrees
Space group C2/c (No. 15)
Asymmetric unit:
Er: 0.000 0.125 0.250 x4
B: 0.244 0.126 0.739 x8
H: 0.071 0.377 0.136 x8
H: 0.178 0.261 0.617 x8
H: 0.184 0.128 0.864 x8
H: 0.189 0.010 0.117 x8

total moment = 0.00 μB per formula unit
VASP energy = -4.320 eV/atom
density of states at the Fermi level = 1.84 states/eV/f.u.

(6)
A plane-wave DFT calculation with PBE was carried out for a relaxed structure of ErB2H8.

Cell lengths 13.493, 4.151, 3.837 Å; angles 90.00, 101.96, 90.00 degrees
Space group C2/m (No. 12)
Asymmetric unit:
Er: 0.000 0.000 0.000 x2
B: 0.134 0.000 0.583 x4
H: 0.080 0.245 0.584 x8
H: 0.165 0.000 0.306 x4
H: 0.204 0.000 0.832 x4

total moment = 0.52 μB per formula unit
VASP energy = -4.279 eV/atom
density of states at the Fermi level = 1.10 states/eV/f.u.

(7)
A plane-wave DFT calculation with PBE was carried out for a relaxed structure of ErB3H12.

Cell lengths 7.6542, 7.6542, 18.8216 Å; angles 90.00, 90.00, 120.00 degrees
Space group R-3c (No. 167, hexagonal axes)
Asymmetric unit:
Er: 0.0000 0.0000 0.0000 x6
B: 0.0000 0.4968 0.2500 x18
H: 0.0048 0.1915 0.9062 x36
H: 0.0185 0.4174 0.6977 x36

total moment = 0.00 μB per formula unit
VASP energy = -4.371 eV/atom
density of states at the Fermi level = 0.00 states/eV/f.u.

(8)
A plane-wave DFT calculation with PBE was carried out for a relaxed structure of ErBH.

Cell lengths 3.273, 6.978, 6.490 Å; angles 90.00, 90.00, 90.00 degrees
Space group Imma (No. 74)
Asymmetric unit:
Er: 0.000 0.000 0.000 x4
B: 0.000 0.250 0.303 x4
H: 0.000 0.250 0.505 x4

total moment = 0.00 μB per formula unit
VASP energy = -5.177 eV/atom
density of states at the Fermi level = 1.73 states/eV/f.u.

(9)
A plane-wave DFT calculation with PBE was carried out for a relaxed structure of ErBH.

Cell lengths 3.611, 12.024, 3.251 Å; angles 90.00, 90.00, 90.00 degrees
Space group Cmcm (No. 63)
Asymmetric unit:
Er: 0.000 0.135 0.250 x4
B: 0.000 0.477 0.250 x4
H: 0.000 0.254 0.750 x4

total moment = 0.00 μB per formula unit
VASP energy = -5.465 eV/atom
density of states at the Fermi level = 1.24 states/eV/f.u.

(10)
A plane-wave DFT calculation with PBE was carried out for a relaxed structure of RbErB2H8.

Cell lengths 4.0610, 4.0610, 24.3785 Å; angles 90.00, 90.00, 120.00 degrees
Space group R-3m (No. 166, hexagonal axes)
Asymmetric unit:
Rb: 0.0000 0.0000 0.0000 x3
Er: 0.0000 0.0000 0.5000 x3
B: 0.0000 0.0000 0.2350 x6
H: 0.0000 0.0000 0.2854 x6
H: 0.0008 0.5004 0.5506 x18

total moment = 0.00 μB per formula unit
VASP energy = -4.052 eV/atom
density of states at the Fermi level = 1.00 states/eV/f.u.

(11)
A plane-wave DFT calculation with PBE was carried out for a relaxed structure of ErHfB4.

Cell lengths 3.396, 3.396, 11.252 Å; angles 90.00, 90.00, 90.00 degrees
Space group I-4m2 (No. 119)
Asymmetric unit:
Er: 0.000 0.000 0.000 x2
Hf: 0.000 0.500 0.750 x2
B: 0.000 0.000 0.416 x4
B: 0.000 0.500 0.172 x4

total moment = 0.00 μB per formula unit
calculated formation energy = -4.36 eV per formula unit
density of states at the Fermi level = 0.52 states/eV/f.u.

(12)
A plane-wave DFT calculation with PBE was carried out for a relaxed structure of Er2HfB2Rh5.

Cell lengths 9.614, 9.614, 3.245 Å; angles 90.00, 90.00, 90.00 degrees
Space group P4/mbm (No. 127)
Asymmetric unit:
Er: 0.175 0.325 0.000 x4
Hf: 0.000 0.000 0.000 x2
B: 0.120 0.620 0.000 x4
Rh: 0.000 0.500 0.500 x2
Rh: 0.071 0.777 0.500 x8

total moment = 0.00 μB per formula unit
calculated formation energy = -8.78 eV per formula unit
density of states at the Fermi level = 2.73 states/eV/f.u.

(13)
A plane-wave DFT calculation with PBE was carried out for a relaxed structure of Er2HfB2Ru5.

Cell lengths 9.701, 9.701, 3.149 Å; angles 90.00, 90.00, 90.00 degrees
Space group P4/mbm (No. 127)
Asymmetric unit:
Er: 0.175 0.325 0.000 x4
Hf: 0.000 0.000 0.000 x2
B: 0.121 0.621 0.000 x4
Ru: 0.000 0.500 0.500 x2
Ru: 0.071 0.778 0.500 x8

total moment = 0.00 μB per formula unit
calculated formation energy = -5.55 eV per formula unit
density of states at the Fermi level = 7.20 states/eV/f.u.

(14)
A plane-wave DFT calculation with PBE was carried out for a relaxed structure of Er3HgB.

Cell lengths 4.976, 4.976, 4.976 Å; angles 90.00, 90.00, 90.00 degrees
Space group Pm-3m (No. 221)
Asymmetric unit:
Er: 0.000 0.000 0.500 x3
Hg: 0.500 0.500 0.500 x1
B: 0.000 0.000 0.000 x1

total moment = 1.41 μB per formula unit
calculated formation energy = -0.88 eV per formula unit
density of states at the Fermi level = 5.90 states/eV/f.u.

(15)
A plane-wave DFT calculation with PBE was carried out for a relaxed structure of ErHgB2O6.

Cell lengths 7.643, 10.402, 6.613 Å; angles 90.00, 108.14, 90.00 degrees
Space group C2/c (No. 15)
Asymmetric unit:
Er: 0.000 0.074 0.250 x4
Hg: 0.000 0.400 0.750 x4
B: 0.245 0.159 0.758 x8
O: 0.106 0.100 0.602 x8
O: 0.152 0.428 0.092 x8
O: 0.221 0.212 0.233 x8

total moment = 0.00 μB per formula unit
raw formation energy = -204.2 kJ per mole of atoms
density of states at the Fermi level = 3.10 states/eV/f.u.

(16)
A plane-wave DFT calculation with PBE was carried out for a relaxed structure of ErHgBPt4.

Cell lengths 10.516, 10.516, 10.516 Å; angles 90.00, 90.00, 90.00 degrees
Space group F-43m (No. 216)
Asymmetric unit:
Er: 0.000 0.000 0.000 x4
Hg: 0.250 0.250 0.750 x4
B: 0.250 0.250 0.250 x4
Pt: 0.143 0.143 0.143 x16

total moment = 0.00 μB per formula unit
calculated formation energy = 7.58 eV per formula unit
density of states at the Fermi level = 9.67 states/eV/f.u.

(17)
A plane-wave DFT calculation with PBE was carried out for a relaxed structure of Er2HgB2Rh5.

Cell lengths 9.653, 9.653, 3.220 Å; angles 90.00, 90.00, 90.00 degrees
Space group P4/mbm (No. 127)
Asymmetric unit:
Er: 0.176 0.324 0.000 x4
Hg: 0.000 0.000 0.000 x2
B: 0.122 0.622 0.000 x4
Rh: 0.000 0.500 0.500 x2
Rh: 0.071 0.772 0.500 x8

total moment = 0.00 μB per formula unit
calculated formation energy = -7.09 eV per formula unit
density of states at the Fermi level = 4.39 states/eV/f.u.

(18)
A plane-wave DFT calculation with PBE was carried out for a relaxed structure of HoEr2B6.

Cell lengths 5.6654, 5.6654, 3.8270 Å; angles 90.00, 90.00, 120.00 degrees
Space group P6/mmm (No. 191)
Asymmetric unit:
Ho: 0.0000 0.0000 0.0000 x1
Er: 0.3333 0.6667 0.0000 x2
B: 0.0000 0.3339 0.5000 x6

total moment = 0.00 μB per formula unit
calculated formation energy = -5.55 eV per formula unit
density of states at the Fermi level = 2.41 states/eV/f.u.

(19)
A plane-wave DFT calculation with PBE was carried out for a relaxed structure of HoErB12.

Cell lengths 4.087, 4.087, 8.180 Å; angles 90.00, 90.00, 90.00 degrees
Space group P4/mmm (No. 123)
Asymmetric unit:
Ho: 0.000 0.000 0.000 x1
Er: 0.000 0.000 0.500 x1
B: 0.199 0.500 0.250 x8
B: 0.500 0.500 0.099 x2
B: 0.500 0.500 0.401 x2

total moment = 0.00 μB per formula unit
calculated formation energy = -5.25 eV per formula unit
density of states at the Fermi level = 1.54 states/eV/f.u.

(20)
A plane-wave DFT calculation with PBE was carried out for a relaxed structure of HoErB4.

Cell lengths 3.540, 3.540, 11.476 Å; angles 90.00, 90.00, 90.00 degrees
Space group I-4m2 (No. 119)
Asymmetric unit:
Ho: 0.000 0.000 0.000 x2
Er: 0.000 0.500 0.750 x2
B: 0.000 0.000 0.421 x4
B: 0.000 0.500 0.171 x4

total moment = 0.00 μB per formula unit
calculated formation energy = -2.76 eV per formula unit
density of states at the Fermi level = 1.64 states/eV/f.u.